Entry from the Alexandria database: a geometry-optimized BeSn2C structure (PBE).

Lattice parameters (Å, degrees): 4.5731 4.5731 4.5731 60.00 60.00 60.00
Element x y z (fractional)
Be 0.0000 0.0000 0.0000
C 0.5000 0.5000 0.5000
Sn 0.2500 0.2500 0.2500
Sn 0.7500 0.7500 0.7500


Entry from the Alexandria database: a geometry-optimized BeSn2C structure (PBE).

Lattice parameters (Å, degrees): 5.6078 5.6078 6.3656 63.87 63.87 90.00
Element x y z (fractional)
Be 0.5000 0.5000 0.0000
Be 0.2500 0.7500 0.5000
C 0.0000 0.0000 0.0000
C 0.7500 0.2500 0.5000
Sn 0.6613 0.1250 0.2500
Sn 0.0887 0.6250 0.2500
Sn 0.3750 0.3387 0.7500
Sn 0.8750 0.9113 0.7500


Entry from the Alexandria database: a geometry-optimized Be3SnC structure (PBE).

Lattice parameters (Å, degrees): 3.8150 3.8150 3.8150 90.00 90.00 90.00
Element x y z (fractional)
Be 0.0000 0.5000 0.0000
Be 0.0000 0.0000 0.5000
Be 0.5000 0.0000 0.0000
C 0.0000 0.0000 0.0000
Sn 0.5000 0.5000 0.5000


Entry from the Alexandria database: a geometry-optimized Be3SnC structure (PBE).

Lattice parameters (Å, degrees): 4.5406 4.5406 4.5406 90.00 90.00 90.00
Element x y z (fractional)
Be 0.0000 0.5000 0.0000
Be 0.0000 0.0000 0.5000
Be 0.5000 0.0000 0.0000
C 0.5000 0.5000 0.5000
Sn 0.0000 0.0000 0.0000


Entry from the Alexandria database: a geometry-optimized BeTc2SnC structure (PBE).

Lattice parameters (Å, degrees): 4.2963 4.2963 3.4795 90.00 90.00 90.00
Element x y z (fractional)
Be 0.0000 0.0000 0.5000
C 0.0000 0.0000 0.0000
Sn 0.5000 0.5000 0.5000
Tc 0.0000 0.5000 0.0000
Tc 0.5000 0.0000 0.0000


Entry from the Alexandria database: a geometry-optimized TiBeSnC2 structure (PBE).

Lattice parameters (Å, degrees): 3.9531 5.6902 3.9531 90.00 90.00 90.00
Element x y z (fractional)
Be 0.5000 0.5000 0.5000
C 0.0000 0.0000 0.5000
C 0.5000 0.0000 0.0000
Sn 0.0000 0.5000 0.0000
Ti 0.0000 0.0000 0.0000


Entry from the Alexandria database: a geometry-optimized Be2TlSnC structure (PBE).

Lattice parameters (Å, degrees): 3.8568 5.9064 3.8568 90.00 90.00 90.00
Element x y z (fractional)
C 0.0000 0.0000 0.0000
Be 0.0000 0.0000 0.5000
Be 0.5000 0.0000 0.0000
Tl 0.0000 0.5000 0.0000
Sn 0.5000 0.5000 0.5000


Entry from the Alexandria database: a geometry-optimized Y2BeSnC structure (PBE).

Lattice parameters (Å, degrees): 5.1546 5.1546 3.5953 90.00 90.00 90.00
Element x y z (fractional)
Y 0.0000 0.5000 0.0000
Y 0.5000 0.0000 0.0000
Be 0.0000 0.0000 0.5000
C 0.0000 0.0000 0.0000
Sn 0.5000 0.5000 0.5000


no.,energy of formation from the pure elements (eV/atom),magnetization (μB/f.u.)
1,1.4391,0.00
2,0.8279,0.00
3,0.5534,0.00
4,2.3234,2.00
5,0.1293,0.00
6,1.6863,0.00
7,0.8780,0.00
8,-0.4408,0.00